[1]
# TaFePbW2 | the Alexandria database | SCAN | PBEsol geometry
# Formation enthalpy at 0 K = 2.0797 eV per atom
# Space group = P4/mmm (123)
data_TaFePbW2
_chemical_formula_sum 'Ta1 Fe1 Pb1 W2'
_cell_length_a 4.8428
_cell_length_b 4.8428
_cell_length_c 4.5159
_cell_angle_alpha 90.00
_cell_angle_beta 90.00
_cell_angle_gamma 90.00
_symmetry_space_group_name_H-M 'P 1'
_symmetry_Int_Tables_number 1
_symmetry_space_group_name_Hall 'P 1'
loop_
_atom_site_label
_atom_site_type_symbol
_atom_site_fract_x
_atom_site_fract_y
_atom_site_fract_z
_atom_site_occupancy
Ta1 Ta 0.0000 0.0000 0.0000 1
Fe1 Fe 0.0000 0.0000 0.5000 1
Pb1 Pb 0.5000 0.5000 0.5000 1
W1 W 0.0000 0.5000 0.0000 1
W2 W 0.5000 0.0000 0.0000 1

***

[2]
# Li2V4Si4O13 | the Alexandria database | SCAN | PBEsol geometry
# Space group = P-1 (2)
# E_form (uncorrected) = -2.6897 eV per atom
data_Li2V4Si4O13
_chemical_formula_sum 'Li4 V8 Si8 O26'
_cell_length_a 6.8584
_cell_length_b 7.8261
_cell_length_c 9.9992
_cell_angle_alpha 68.49
_cell_angle_beta 80.25
_cell_angle_gamma 77.41
_symmetry_space_group_name_H-M 'P 1'
_symmetry_Int_Tables_number 1
_symmetry_space_group_name_Hall 'P 1'
loop_
_atom_site_label
_atom_site_type_symbol
_atom_site_fract_x
_atom_site_fract_y
_atom_site_fract_z
_atom_site_occupancy
Li1 Li 0.2169 0.0605 0.4356 1
Li2 Li 0.2813 0.5044 0.8745 1
Li3 Li 0.7187 0.4956 0.1255 1
Li4 Li 0.7831 0.9395 0.5644 1
V1 V 0.0780 0.1909 0.9850 1
V2 V 0.0819 0.5394 0.6261 1
V3 V 0.4154 0.4570 0.3754 1
V4 V 0.4162 0.8127 0.0100 1
V5 V 0.5838 0.1873 0.9900 1
V6 V 0.5846 0.5430 0.6246 1
V7 V 0.9181 0.4606 0.3739 1
V8 V 0.9220 0.8091 0.0150 1
Si1 Si 0.1239 0.8453 0.2898 1
Si2 Si 0.2277 0.4212 0.1682 1
Si3 Si 0.2290 0.8543 0.7197 1
Si4 Si 0.4355 0.1594 0.7076 1
Si5 Si 0.5645 0.8406 0.2924 1
Si6 Si 0.7710 0.1457 0.2803 1
Si7 Si 0.7723 0.5788 0.8318 1
Si8 Si 0.8761 0.1547 0.7102 1
O1 O 0.0047 0.4604 0.8487 1
O2 O 0.0263 0.9951 0.6486 1
O3 O 0.1083 0.6312 0.3934 1
O4 O 0.1188 0.8990 0.1164 1
O5 O 0.2079 0.7683 0.8946 1
O6 O 0.2127 0.3090 0.3454 1
O7 O 0.2857 0.2948 0.0642 1
O8 O 0.2905 0.6919 0.6497 1
O9 O 0.3237 0.8948 0.3238 1
O10 O 0.3712 0.3760 0.6051 1
O11 O 0.3738 0.1126 0.8810 1
O12 O 0.3797 0.0078 0.6482 1
O13 O 0.4069 0.5430 0.1508 1
O14 O 0.5931 0.4570 0.8492 1
O15 O 0.6203 0.9922 0.3518 1
O16 O 0.6262 0.8874 0.1190 1
O17 O 0.6288 0.6240 0.3949 1
O18 O 0.6763 0.1052 0.6762 1
O19 O 0.7095 0.3081 0.3503 1
O20 O 0.7143 0.7052 0.9358 1
O21 O 0.7873 0.6910 0.6546 1
O22 O 0.7921 0.2317 0.1054 1
O23 O 0.8812 0.1010 0.8836 1
O24 O 0.8917 0.3688 0.6066 1
O25 O 0.9737 0.0049 0.3514 1
O26 O 0.9953 0.5396 0.1513 1

***

[3]
# GeHSeBr2 | the Alexandria database | SCAN | PBEsol geometry
# Space group = P4/mmm (123)
# Uncorrected energy = -15.835 eV/atom
data_GeHSeBr2
_chemical_formula_sum 'Ge1 H1 Se1 Br2'
_cell_length_a 5.2366
_cell_length_b 5.2366
_cell_length_c 3.5021
_cell_angle_alpha 90.00
_cell_angle_beta 90.00
_cell_angle_gamma 90.00
_symmetry_space_group_name_H-M 'P 1'
_symmetry_Int_Tables_number 1
_symmetry_space_group_name_Hall 'P 1'
loop_
_atom_site_label
_atom_site_type_symbol
_atom_site_fract_x
_atom_site_fract_y
_atom_site_fract_z
_atom_site_occupancy
Ge1 Ge 0.0000 0.0000 0.0000 1
H1 H 0.5000 0.5000 0.5000 1
Se1 Se 0.5000 0.5000 0.0000 1
Br1 Br 0.0000 0.5000 0.5000 1
Br2 Br 0.5000 0.0000 0.5000 1

***

[4]
# Li2TlHg2 | the Alexandria database | SCAN | PBEsol geometry
# Formation enthalpy at 0 K = -0.3363 eV per atom
# Space group = P4/mbm (127)
data_Li2TlHg2
_chemical_formula_sum 'Li4 Tl2 Hg4'
_cell_length_a 7.8903
_cell_length_b 7.8903
_cell_length_c 3.2422
_cell_angle_alpha 90.00
_cell_angle_beta 90.00
_cell_angle_gamma 90.00
_symmetry_space_group_name_H-M 'P 1'
_symmetry_Int_Tables_number 1
_symmetry_space_group_name_Hall 'P 1'
loop_
_atom_site_label
_atom_site_type_symbol
_atom_site_fract_x
_atom_site_fract_y
_atom_site_fract_z
_atom_site_occupancy
Li1 Li 0.1638 0.3362 0.0000 1
Li2 Li 0.3362 0.8362 0.0000 1
Li3 Li 0.6638 0.1638 0.0000 1
Li4 Li 0.8362 0.6638 0.0000 1
Tl1 Tl 0.0000 0.0000 0.5000 1
Tl2 Tl 0.5000 0.5000 0.5000 1
Hg1 Hg 0.1332 0.6332 0.5000 1
Hg2 Hg 0.3668 0.1332 0.5000 1
Hg3 Hg 0.6332 0.8668 0.5000 1
Hg4 Hg 0.8668 0.3668 0.5000 1

***

[5]
# Ca3Zn3Te2O12 | the Alexandria database | SCAN | PBEsol geometry
# Space group = Ia-3d (230)
# E_form (uncorrected) = -2.1150 eV per atom
data_Ca3Zn3Te2O12
_chemical_formula_sum 'Ca12 Zn12 Te8 O48'
_cell_length_a 10.8875
_cell_length_b 10.8875
_cell_length_c 10.8875
_cell_angle_alpha 109.47
_cell_angle_beta 109.47
_cell_angle_gamma 109.47
_symmetry_space_group_name_H-M 'P 1'
_symmetry_Int_Tables_number 1
_symmetry_space_group_name_Hall 'P 1'
loop_
_atom_site_label
_atom_site_type_symbol
_atom_site_fract_x
_atom_site_fract_y
_atom_site_fract_z
_atom_site_occupancy
Ca1 Ca 0.1250 0.2500 0.3750 1
Ca2 Ca 0.1250 0.3750 0.7500 1
Ca3 Ca 0.2500 0.3750 0.1250 1
Ca4 Ca 0.2500 0.8750 0.6250 1
Ca5 Ca 0.3750 0.1250 0.2500 1
Ca6 Ca 0.3750 0.7500 0.1250 1
Ca7 Ca 0.6250 0.2500 0.8750 1
Ca8 Ca 0.6250 0.8750 0.7500 1
Ca9 Ca 0.7500 0.1250 0.3750 1
Ca10 Ca 0.7500 0.6250 0.8750 1
Ca11 Ca 0.8750 0.6250 0.2500 1
Ca12 Ca 0.8750 0.7500 0.6250 1
Zn1 Zn 0.1250 0.7500 0.8750 1
Zn2 Zn 0.1250 0.8750 0.2500 1
Zn3 Zn 0.2500 0.1250 0.8750 1
Zn4 Zn 0.2500 0.6250 0.3750 1
Zn5 Zn 0.3750 0.2500 0.6250 1
Zn6 Zn 0.3750 0.6250 0.7500 1
Zn7 Zn 0.6250 0.3750 0.2500 1
Zn8 Zn 0.6250 0.7500 0.3750 1
Zn9 Zn 0.7500 0.3750 0.6250 1
Zn10 Zn 0.7500 0.8750 0.1250 1
Zn11 Zn 0.8750 0.1250 0.7500 1
Zn12 Zn 0.8750 0.2500 0.1250 1
Te1 Te 0.0000 0.0000 0.0000 1
Te2 Te 0.0000 0.0000 0.5000 1
Te3 Te 0.0000 0.5000 0.0000 1
Te4 Te 0.0000 0.5000 0.5000 1
Te5 Te 0.5000 0.0000 0.0000 1
Te6 Te 0.5000 0.0000 0.5000 1
Te7 Te 0.5000 0.5000 0.0000 1
Te8 Te 0.5000 0.5000 0.5000 1
O1 O 0.0246 0.1947 0.1171 1
O2 O 0.0246 0.3300 0.9075 1
O3 O 0.0776 0.6947 0.6700 1
O4 O 0.0776 0.8829 0.4075 1
O5 O 0.0925 0.6171 0.4224 1
O6 O 0.0925 0.9754 0.6700 1
O7 O 0.1171 0.0246 0.1947 1
O8 O 0.1171 0.5925 0.9224 1
O9 O 0.1700 0.1947 0.5776 1
O10 O 0.1700 0.4754 0.5925 1
O11 O 0.1947 0.1171 0.0246 1
O12 O 0.1947 0.5776 0.1700 1
O13 O 0.3053 0.3300 0.9224 1
O14 O 0.3053 0.4754 0.3829 1
O15 O 0.3300 0.9075 0.0246 1
O16 O 0.3300 0.9224 0.3053 1
O17 O 0.3829 0.3053 0.4754 1
O18 O 0.3829 0.5776 0.9075 1
O19 O 0.4075 0.0776 0.8829 1
O20 O 0.4075 0.8300 0.5246 1
O21 O 0.4224 0.0925 0.6171 1
O22 O 0.4224 0.8300 0.8053 1
O23 O 0.4754 0.3829 0.3053 1
O24 O 0.4754 0.5925 0.1700 1
O25 O 0.5246 0.4075 0.8300 1
O26 O 0.5246 0.6171 0.6947 1
O27 O 0.5776 0.1700 0.1947 1
O28 O 0.5776 0.9075 0.3829 1
O29 O 0.5925 0.1700 0.4754 1
O30 O 0.5925 0.9224 0.1171 1
O31 O 0.6171 0.4224 0.0925 1
O32 O 0.6171 0.6947 0.5246 1
O33 O 0.6700 0.0776 0.6947 1
O34 O 0.6700 0.0925 0.9754 1
O35 O 0.6947 0.5246 0.6171 1
O36 O 0.6947 0.6700 0.0776 1
O37 O 0.8053 0.4224 0.8300 1
O38 O 0.8053 0.8829 0.9754 1
O39 O 0.8300 0.5246 0.4075 1
O40 O 0.8300 0.8053 0.4224 1
O41 O 0.8829 0.4075 0.0776 1
O42 O 0.8829 0.9754 0.8053 1
O43 O 0.9075 0.0246 0.3300 1
O44 O 0.9075 0.3829 0.5776 1
O45 O 0.9224 0.1171 0.5925 1
O46 O 0.9224 0.3053 0.3300 1
O47 O 0.9754 0.6700 0.0925 1
O48 O 0.9754 0.8053 0.8829 1

***

[6]
# Co5Rh | the Alexandria database | SCAN | PBEsol geometry
# Formation enthalpy at 0 K = 0.0351 eV per atom
# Space group = P2/m (10)
data_Co5Rh
_chemical_formula_sum 'Co5 Rh1'
_cell_length_a 4.3051
_cell_length_b 2.5206
_cell_length_c 6.0932
_cell_angle_alpha 90.00
_cell_angle_beta 90.60
_cell_angle_gamma 90.00
_symmetry_space_group_name_H-M 'P 1'
_symmetry_Int_Tables_number 1
_symmetry_space_group_name_Hall 'P 1'
loop_
_atom_site_label
_atom_site_type_symbol
_atom_site_fract_x
_atom_site_fract_y
_atom_site_fract_z
_atom_site_occupancy
Co1 Co 0.0000 0.0000 0.0000 1
Co2 Co 0.1594 0.5000 0.3362 1
Co3 Co 0.3292 0.0000 0.6567 1
Co4 Co 0.6708 0.0000 0.3433 1
Co5 Co 0.8406 0.5000 0.6638 1
Rh1 Rh 0.5000 0.5000 0.0000 1

***

[7]
# EuTm2Se4 | the Alexandria database | SCAN | PBEsol geometry
# Space group = Pnma (62)
# E_form (uncorrected) = -2.1623 eV per atom
data_EuTm2Se4
_chemical_formula_sum 'Eu4 Tm8 Se16'
_cell_length_a 12.1614
_cell_length_b 4.0194
_cell_length_c 14.5413
_cell_angle_alpha 90.00
_cell_angle_beta 90.00
_cell_angle_gamma 90.00
_symmetry_space_group_name_H-M 'P 1'
_symmetry_Int_Tables_number 1
_symmetry_space_group_name_Hall 'P 1'
loop_
_atom_site_label
_atom_site_type_symbol
_atom_site_fract_x
_atom_site_fract_y
_atom_site_fract_z
_atom_site_occupancy
Eu1 Eu 0.2417 0.2500 0.1656 1
Eu2 Eu 0.2583 0.7500 0.6656 1
Eu3 Eu 0.7417 0.2500 0.3344 1
Eu4 Eu 0.7583 0.7500 0.8344 1
Tm1 Tm 0.0656 0.2500 0.3899 1
Tm2 Tm 0.0824 0.2500 0.9030 1
Tm3 Tm 0.4176 0.7500 0.4030 1
Tm4 Tm 0.4344 0.7500 0.8899 1
Tm5 Tm 0.5656 0.2500 0.1101 1
Tm6 Tm 0.5824 0.2500 0.5970 1
Tm7 Tm 0.9176 0.7500 0.0970 1
Tm8 Tm 0.9344 0.7500 0.6101 1
Se1 Se 0.0248 0.7500 0.7845 1
Se2 Se 0.0912 0.2500 0.5798 1
Se3 Se 0.1341 0.7500 0.0311 1
Se4 Se 0.2070 0.7500 0.3237 1
Se5 Se 0.2930 0.2500 0.8237 1
Se6 Se 0.3659 0.2500 0.5311 1
Se7 Se 0.4088 0.7500 0.0798 1
Se8 Se 0.4752 0.2500 0.2845 1
Se9 Se 0.5248 0.7500 0.7155 1
Se10 Se 0.5912 0.2500 0.9202 1
Se11 Se 0.6341 0.7500 0.4689 1
Se12 Se 0.7070 0.7500 0.1763 1
Se13 Se 0.7930 0.2500 0.6763 1
Se14 Se 0.8659 0.2500 0.9689 1
Se15 Se 0.9088 0.7500 0.4202 1
Se16 Se 0.9752 0.2500 0.2155 1

***

[8]
# TlCrAg2 | the Alexandria database | SCAN | PBEsol geometry
# Formation enthalpy at 0 K = 0.2278 eV per atom
# Space group = P4mm (99)
data_TlCrAg2
_chemical_formula_sum 'Tl1 Cr1 Ag2'
_cell_length_a 3.4261
_cell_length_b 3.4261
_cell_length_c 6.1604
_cell_angle_alpha 90.00
_cell_angle_beta 90.00
_cell_angle_gamma 90.00
_symmetry_space_group_name_H-M 'P 1'
_symmetry_Int_Tables_number 1
_symmetry_space_group_name_Hall 'P 1'
loop_
_atom_site_label
_atom_site_type_symbol
_atom_site_fract_x
_atom_site_fract_y
_atom_site_fract_z
_atom_site_occupancy
Tl1 Tl 0.0000 0.0000 0.0000 1
Cr1 Cr 0.5000 0.5000 0.7401 1
Ag1 Ag 0.0000 0.0000 0.5065 1
Ag2 Ag 0.5000 0.5000 0.2730 1